(1)
Ta4TlI7 PBE-GGA relaxed; density = 8.1 g/cm3; DOS at the Fermi energy = 5.588 states/eV/f.u.; M_tot = 0.00 μB per formula unit; total DFT energy (no corrections) = -4.8933 eV/atom
1.0
-6.192 1.053 -1.125
0.841 -1.744 -6.263
-3.662 -16.999 4.242
Ta Tl I
8 2 14
direct
0.675 0.775 0.172
0.010 0.910 0.730
0.510 0.090 0.770
0.175 0.225 0.328
0.175 0.225 0.672
0.675 0.775 0.828
0.010 0.910 0.270
0.510 0.090 0.230
0.388 0.709 0.500
0.888 0.291 0.000
0.080 0.864 0.886
0.580 0.136 0.614
0.437 0.354 0.108
0.937 0.646 0.392
0.937 0.646 0.608
0.437 0.354 0.892
0.388 0.661 0.282
0.888 0.339 0.218
0.888 0.339 0.782
0.388 0.661 0.718
0.586 0.848 0.000
0.086 0.152 0.500
0.080 0.864 0.114
0.580 0.136 0.386

=====

(2)
SrHfAu2 PBE-GGA relaxed; density = 11.8 g/cm3; DOS at the Fermi energy = 1.702 states/eV/f.u.; DFT formation energy = -0.2967 eV per atom; M_tot = 0.00 μB per formula unit; total DFT energy (no corrections) = -4.8442 eV/atom
1.0
0.000 3.593 3.593
3.593 0.000 3.593
3.593 3.593 0.000
Hf Au Sr
1 2 1
direct
0.500 0.500 0.500
0.250 0.250 0.250
0.750 0.750 0.750
0.000 0.000 0.000

=====

(3)
Y5AgAu4 PBE-GGA relaxed; density = 9.4 g/cm3; DOS at the Fermi energy = 4.164 states/eV/f.u.; DFT formation energy = -0.7595 eV per atom; M_tot = 0.00 μB per formula unit; total DFT energy (no corrections) = -5.5876 eV/atom
1.0
-0.015 3.360 -1.255
-1.311 -1.173 -3.126
-17.062 2.277 6.299
Y Ag Au
5 1 4
direct
0.500 0.500 0.103
0.500 0.500 0.301
0.500 0.500 0.500
0.500 0.500 0.699
0.500 0.500 0.897
0.000 0.000 0.000
0.000 0.000 0.200
0.000 0.000 0.400
0.000 0.000 0.600
0.000 0.000 0.800

=====

(4)
BaSb2S4 PBE-GGA relaxed; density = 4.3 g/cm3; M_tot = 0.00 μB per formula unit; total DFT energy (no corrections) = -4.6494 eV/atom
1.0
-4.958 2.040 -6.425
1.139 -8.285 -3.510
-16.850 -3.422 11.915
Ba Sb S
8 16 32
direct
0.549 0.515 0.297
0.049 0.485 0.203
0.451 0.485 0.703
0.951 0.515 0.797
0.956 0.016 0.805
0.456 0.984 0.695
0.044 0.984 0.195
0.544 0.016 0.305
0.509 0.844 0.885
0.009 0.156 0.615
0.491 0.156 0.115
0.991 0.844 0.385
0.799 0.430 0.032
0.299 0.570 0.468
0.201 0.570 0.968
0.701 0.430 0.532
0.849 0.852 0.001
0.349 0.148 0.499
0.151 0.148 0.999
0.651 0.852 0.501
0.521 0.296 0.877
0.021 0.704 0.623
0.479 0.704 0.123
0.979 0.296 0.377
0.651 0.657 0.967
0.151 0.343 0.533
0.349 0.343 0.033
0.849 0.657 0.467
0.337 0.494 0.850
0.837 0.506 0.650
0.663 0.506 0.150
0.163 0.494 0.350
0.173 0.742 0.727
0.673 0.258 0.773
0.827 0.258 0.273
0.327 0.742 0.227
0.845 0.927 0.652
0.345 0.073 0.848
0.155 0.073 0.348
0.655 0.927 0.152
0.155 0.233 0.717
0.655 0.767 0.783
0.845 0.767 0.283
0.345 0.233 0.217
0.997 0.631 0.073
0.497 0.369 0.427
0.003 0.369 0.927
0.503 0.631 0.573
0.787 0.033 0.435
0.287 0.967 0.065
0.213 0.967 0.565
0.713 0.033 0.935
0.555 0.226 0.586
0.055 0.774 0.914
0.445 0.774 0.414
0.945 0.226 0.086

=====

(5)
PrCd11Pd PBE-GGA relaxed; density = 8.5 g/cm3; DOS at the Fermi energy = 5.761 states/eV/f.u.; DFT formation energy = -0.1891 eV per atom; M_tot = 0.00 μB per formula unit; total DFT energy (no corrections) = -1.7306 eV/atom
1.0
5.275 -0.003 2.198
2.580 7.101 1.075
-0.106 -0.002 7.684
Pr Cd Pd
1 11 1
direct
0.000 0.000 0.000
0.297 0.216 0.208
0.703 0.784 0.792
0.495 0.784 0.208
0.505 0.216 0.792
0.361 0.642 0.657
0.639 0.358 0.343
0.981 0.358 0.657
0.019 0.642 0.343
0.000 0.500 0.000
0.500 0.000 0.500
0.000 0.000 0.500
0.500 0.500 0.000

=====

(6)
K3NaTe4 PBE-GGA relaxed; density = 3.2 g/cm3; DOS at the Fermi energy = 0.182 states/eV/f.u.; M_tot = 0.00 μB per formula unit; total DFT energy (no corrections) = -2.9073 eV/atom
1.0
5.305 0.000 0.000
0.000 6.510 0.000
-2.653 -3.255 9.792
K Na Te
3 1 4
direct
0.205 0.205 0.410
0.795 0.795 0.590
0.000 0.500 0.000
0.500 0.000 0.000
0.375 0.592 0.749
0.625 0.408 0.251
0.625 0.842 0.251
0.375 0.158 0.749

=====

(7)
Sc4CoRh3 PBE-GGA relaxed; density = 6.9 g/cm3; DOS at the Fermi energy = 3.636 states/eV/f.u.; DFT formation energy = -0.8503 eV per atom; M_tot = 0.24 μB per formula unit; total DFT energy (no corrections) = -7.6611 eV/atom
1.0
-0.306 -2.931 1.243
3.509 -1.427 -2.500
5.682 2.248 6.695
Sc Rh Co
4 3 1
direct
0.000 0.000 0.500
0.000 0.500 0.757
0.000 0.000 0.000
0.000 0.500 0.243
0.500 0.000 0.249
0.500 0.500 0.500
0.500 0.000 0.751
0.500 0.500 0.000

=====

(8)
Sr2CaPdBr PBE-GGA relaxed; density = 3.4 g/cm3; DOS at the Fermi energy = 5.158 states/eV/f.u.; M_tot = 0.00 μB per formula unit; total DFT energy (no corrections) = -2.7092 eV/atom
1.0
-2.525 -5.403 -0.251
2.051 -0.723 -5.077
4.934 -2.415 2.337
Sr Ca Br Pd
2 1 1 1
direct
0.000 0.000 0.500
0.500 0.000 0.000
0.500 0.500 0.500
0.000 0.500 0.000
0.000 0.000 0.000

=====

(9)
K2TeOsO6 PBE-GGA relaxed; density = 5.1 g/cm3; DOS at the Fermi energy = 1.094 states/eV/f.u.; M_tot = 2.02 μB per formula unit; total DFT energy (no corrections) = -5.7490 eV/atom
1.0
5.147 0.001 0.319
0.007 5.441 -0.003
2.867 2.702 5.925
K Te Os O
2 1 1 6
direct
0.749 0.263 0.481
0.251 0.737 0.519
0.000 0.000 0.000
0.500 0.500 0.000
0.089 0.141 0.689
0.707 0.663 0.099
0.357 0.818 0.906
0.643 0.182 0.094
0.293 0.337 0.901
0.911 0.859 0.311

=====

(10)
LiMgPdPt PBE-GGA relaxed; density = 9.4 g/cm3; DOS at the Fermi energy = 1.379 states/eV/f.u.; DFT formation energy = -0.6705 eV per atom; M_tot = 0.00 μB per formula unit; total DFT energy (no corrections) = -4.3560 eV/atom
1.0
-0.023 -1.835 3.957
3.436 -2.325 1.346
2.593 1.559 3.142
Mg Pd Pt Li
1 1 1 1
direct
0.000 0.000 0.000
0.250 0.250 0.250
0.750 0.750 0.750
0.500 0.500 0.500

=====

(11)
ThMn4 PBE-GGA relaxed; density = 6.7 g/cm3; DOS at the Fermi energy = 5.860 states/eV/f.u.; DFT formation energy = 1.7512 eV per atom; M_tot = 12.22 μB per formula unit; total DFT energy (no corrections) = -7.0684 eV/atom
1.0
-1.844 -4.115 -1.690
0.243 -1.919 4.410
-4.442 1.603 0.943
Mn Th
4 1
direct
0.000 0.000 0.000
0.500 0.000 0.500
0.000 0.500 0.500
0.500 0.500 0.000
0.500 0.500 0.500

=====

(12)
Zn3GaPd2 PBE-GGA relaxed; density = 9.0 g/cm3; DOS at the Fermi energy = 1.201 states/eV/f.u.; DFT formation energy = -0.3970 eV per atom; M_tot = 0.00 μB per formula unit; total DFT energy (no corrections) = -3.2694 eV/atom
1.0
-1.863 2.398 2.567
-4.151 -5.742 2.351
7.102 0.411 1.690
Zn Ga Pd
6 2 4
direct
0.500 0.250 0.000
0.500 0.750 0.000
0.824 0.074 0.647
0.176 0.426 0.353
0.176 0.926 0.353
0.824 0.574 0.647
0.000 0.500 0.000
0.000 0.000 0.000
0.346 0.346 0.692
0.654 0.154 0.308
0.346 0.846 0.692
0.654 0.654 0.308

=====

(13)
Ca2Cd2S PBE-GGA relaxed; density = 3.7 g/cm3; DOS at the Fermi energy = 4.248 states/eV/f.u.; M_tot = 0.00 μB per formula unit; total DFT energy (no corrections) = -2.6315 eV/atom
1.0
7.485 0.000 0.000
0.000 7.485 0.000
0.000 0.000 5.362
Ca S Cd
4 2 4
direct
0.316 0.816 0.000
0.816 0.684 0.000
0.684 0.184 0.000
0.184 0.316 0.000
0.000 0.000 0.000
0.500 0.500 0.000
0.135 0.635 0.500
0.635 0.865 0.500
0.865 0.365 0.500
0.365 0.135 0.500

=====

(14)
Mg2PRu PBE-GGA relaxed; density = 4.4 g/cm3; DOS at the Fermi energy = 1.590 states/eV/f.u.; DFT formation energy = -0.3249 eV per atom; M_tot = 0.00 μB per formula unit; total DFT energy (no corrections) = -4.7936 eV/atom
1.0
3.027 0.010 0.000
-0.010 3.027 0.000
0.000 0.000 7.476
Mg P Ru
2 1 1
direct
0.000 0.000 0.956
0.500 0.500 0.299
0.000 0.000 0.550
0.500 0.500 0.695

=====

(15)
InCoW2 PBE-GGA relaxed; density = 13.7 g/cm3; DOS at the Fermi energy = 3.688 states/eV/f.u.; DFT formation energy = 0.5315 eV per atom; M_tot = 0.98 μB per formula unit; total DFT energy (no corrections) = -8.4062 eV/atom
1.0
3.249 0.000 0.000
0.000 3.249 0.000
0.000 0.000 6.214
Co In W
1 1 2
direct
0.500 0.500 0.250
0.500 0.500 0.750
0.000 0.000 0.055
0.000 0.000 0.445

=====

(16)
Rb2NiPb2 PBE-GGA relaxed; density = 6.4 g/cm3; DOS at the Fermi energy = 3.608 states/eV/f.u.; DFT formation energy = 0.1587 eV per atom; M_tot = 0.00 μB per formula unit; total DFT energy (no corrections) = -2.8679 eV/atom
1.0
-4.735 4.191 -3.512
-4.129 -5.786 -1.338
-3.169 0.998 5.462
Pb Ni Rb
4 2 4
direct
0.343 0.843 0.000
0.843 0.657 0.000
0.657 0.157 0.000
0.157 0.343 0.000
0.000 0.000 0.000
0.500 0.500 0.000
0.177 0.677 0.500
0.677 0.823 0.500
0.823 0.323 0.500
0.323 0.177 0.500

=====

(17)
Mo2PtCl PBE-GGA relaxed; density = 11.1 g/cm3; DOS at the Fermi energy = 4.407 states/eV/f.u.; M_tot = 0.00 μB per formula unit; total DFT energy (no corrections) = -6.8205 eV/atom
1.0
-2.547 3.207 3.363
-5.001 1.192 -1.284
3.541 -3.714 1.320
Cl Mo Pt
1 2 1
direct
0.250 0.750 0.500
0.022 0.022 0.000
0.478 0.478 0.000
0.750 0.250 0.500

=====

(18)
VGa2W PBE-GGA relaxed; density = 10.5 g/cm3; DOS at the Fermi energy = 3.453 states/eV/f.u.; DFT formation energy = 0.0755 eV per atom; M_tot = 0.00 μB per formula unit; total DFT energy (no corrections) = -6.9559 eV/atom
1.0
4.078 0.000 0.000
0.000 3.811 0.000
0.000 0.000 3.811
Ga W V
2 1 1
direct
0.000 0.000 0.500
0.000 0.500 0.000
0.500 0.000 0.000
0.500 0.500 0.500

=====

(19)
LaLuGe2 PBE-GGA relaxed; density = 7.9 g/cm3; DOS at the Fermi energy = 2.495 states/eV/f.u.; DFT formation energy = -0.6046 eV per atom; M_tot = 0.00 μB per formula unit; total DFT energy (no corrections) = -5.2754 eV/atom
1.0
4.088 0.000 0.000
0.000 4.847 0.000
0.000 0.000 4.847
Ge Lu La
2 1 1
direct
0.000 0.000 0.500
0.000 0.500 0.000
0.500 0.000 0.000
0.500 0.500 0.500

=====

(20)
ZnNiIr2 PBE-GGA relaxed; density = 14.6 g/cm3; DOS at the Fermi energy = 3.956 states/eV/f.u.; DFT formation energy = 0.1802 eV per atom; M_tot = 0.00 μB per formula unit; total DFT energy (no corrections) = -6.0141 eV/atom
1.0
-0.881 1.887 -1.665
2.537 -3.206 -2.834
-3.784 -2.380 -0.695
Zn Ni Ir
1 1 2
direct
0.962 0.549 0.000
0.538 0.700 0.500
0.692 0.009 0.000
0.808 0.242 0.500